[1]
This record from Alexandria describes a geometry-optimized PrZnInPt structure. The functional is PBE.

Computed properties:
- Magnetic moment: 0.000 μB per atom
- Energy of formation: -612 meV per atom
- Uncorrected energy: -4.320 eV per atom

a b c (Å): 6.984 6.984 6.984
angles (deg): 90.00 90.00 90.00
Space group F-43m (No. 216)
One atom of each set of equivalent atoms:
Pr: 0.000 0.000 0.000
Zn: 0.250 0.250 0.750
In: 0.000 0.000 0.500
Pt: 0.250 0.250 0.250

---

[2]
This record from Alexandria describes a geometry-optimized TcRhN3 structure. The functional is PBE.

Computed properties:
- E_form (uncorrected): 9.2 eV/f.u.
- Magnetic moment: 0.000 μB per atom
- Uncorrected energy: -6.693 eV per atom

a b c (Å): 3.806 3.806 3.806
angles (deg): 90.00 90.00 90.00
Space group Pm-3m (No. 221)
One atom of each set of equivalent atoms:
Tc: 0.000 0.000 0.000
Rh: 0.500 0.500 0.500
N: 0.000 0.500 0.500

---

[3]
This record from Alexandria describes a geometry-optimized Ba2SnTeAs structure. The functional is PBE.

Computed properties:
- E_form (uncorrected): -1.2 eV/f.u.
- Magnetic moment: 0.000 μB per atom
- Uncorrected energy: -3.376 eV per atom

a b c (Å): 6.478 6.478 5.643
angles (deg): 90.00 90.00 90.00
Space group P4/mmm (No. 123)
One atom of each set of equivalent atoms:
Ba: 0.000 0.500 0.000
Sn: 0.000 0.000 0.500
Te: 0.000 0.000 0.000
As: 0.500 0.500 0.500

---

[4]
This record from Alexandria describes a geometry-optimized Sm8As6Br structure. The functional is PBE.

Computed properties:
- E_form (uncorrected): -17.9 eV/f.u.
- Magnetic moment: 0.000 μB per atom
- Uncorrected energy: -5.684 eV per atom

a b c (Å): 11.1581 11.1581 4.3288
angles (deg): 90.00 90.00 120.00
Space group P-3 (No. 147)
One atom of each set of equivalent atoms:
Sm: 0.0366 0.3696 0.2441
Sm: 0.3333 0.6667 0.7537
As: 0.1428 0.6673 0.2550
Br: 0.0000 0.0000 0.0000